Density functional theory data (GGA-PBE) for RbAg2Br2 after structural relaxation. Values from VASP.

Structure (Quantum ESPRESSO input):
```
&SYSTEM
  ibrav = 0, nat = 5, ntyp = 3
/
ATOMIC_SPECIES
Rb 85.47 Rb.upf
Ag 107.87 Ag.upf
Br 79.90 Br.upf
CELL_PARAMETERS angstrom
-2.688 2.688 5.199
2.688 -2.688 5.199
2.688 2.688 -5.199
ATOMIC_POSITIONS angstrom
Rb 0.000 0.000 0.000
Ag 0.000 0.000 3.824
Ag 0.000 0.000 6.573
Br 2.688 0.000 2.599
Br 0.000 2.688 2.599
```

Computed properties:
E_form (uncorrected) = -0.5040 eV/atom

Density functional theory data (GGA-PBE) for Rb2AgBr after structural relaxation. Values from VASP.

Structure (Quantum ESPRESSO input):
```
&SYSTEM
  ibrav = 0, nat = 4, ntyp = 3
/
ATOMIC_SPECIES
Rb 85.47 Rb.upf
Ag 107.87 Ag.upf
Br 79.90 Br.upf
CELL_PARAMETERS angstrom
2.514 1.451 8.468
-2.514 1.451 8.468
0.000 -2.903 8.468
ATOMIC_POSITIONS angstrom
Rb 0.000 0.000 6.231
Rb 0.000 0.000 19.173
Ag 0.000 0.000 0.000
Br 0.000 0.000 12.702
```

Computed properties:
E_form (uncorrected) = -0.7961 eV/atom
excess energy over the best structure of this formula in the dataset = 0 kJ/mol of formula units

Density functional theory data (GGA-PBE) for Rb3Ag2Br8 after structural relaxation. Values from VASP.

Structure (Quantum ESPRESSO input):
```
&SYSTEM
  ibrav = 0, nat = 13, ntyp = 3
/
ATOMIC_SPECIES
Rb 85.47 Rb.upf
Ag 107.87 Ag.upf
Br 79.90 Br.upf
CELL_PARAMETERS angstrom
3.623 2.092 10.554
-3.623 2.092 10.554
0.000 -4.183 10.554
ATOMIC_POSITIONS angstrom
Rb 0.000 0.000 0.000
Rb 0.000 0.000 6.578
Rb 0.000 0.000 25.083
Ag 0.000 0.000 12.531
Ag 0.000 0.000 19.131
Br -1.946 -1.123 17.810
Br 0.000 -2.247 13.852
Br -1.946 1.123 13.852
Br 0.000 0.000 9.982
Br 0.000 0.000 21.680
Br 1.946 -1.123 17.810
Br 0.000 2.247 17.810
Br 1.946 1.123 13.852
```

Computed properties:
E_form (uncorrected) = -0.8192 eV/atom

Density functional theory data (GGA-PBE) for Rb2AgBr after structural relaxation. Values from VASP.

Structure (Quantum ESPRESSO input):
```
&SYSTEM
  ibrav = 0, nat = 4, ntyp = 3
/
ATOMIC_SPECIES
Rb 85.47 Rb.upf
Ag 107.87 Ag.upf
Br 79.90 Br.upf
CELL_PARAMETERS angstrom
0.000 4.291 4.291
4.291 0.000 4.291
4.291 4.291 0.000
ATOMIC_POSITIONS angstrom
Rb 2.145 2.145 2.145
Rb 6.436 6.436 6.436
Ag 0.000 0.000 0.000
Br 4.291 4.291 4.291
```

Computed properties:
E_form (uncorrected) = -0.7481 eV/atom
excess energy over the best structure of this formula in the dataset = 18 kJ/mol of formula units

Density functional theory data (GGA-PBE) for Rb4Ag3Br10 after structural relaxation. Values from VASP.

Structure (Quantum ESPRESSO input):
```
&SYSTEM
  ibrav = 0, nat = 17, ntyp = 3
/
ATOMIC_SPECIES
Rb 85.47 Rb.upf
Ag 107.87 Ag.upf
Br 79.90 Br.upf
CELL_PARAMETERS angstrom
-2.715 2.715 19.475
2.715 -2.715 19.475
2.715 2.715 -19.475
ATOMIC_POSITIONS angstrom
Rb 0.000 0.000 2.669
Rb 0.000 0.000 7.781
Rb 0.000 0.000 31.170
Rb 0.000 0.000 36.282
Ag 0.000 0.000 13.996
Ag 0.000 0.000 19.475
Ag 0.000 0.000 24.955
Br 2.715 0.000 0.000
Br 2.715 0.000 5.338
Br 0.000 0.000 11.250
Br 2.715 0.000 14.138
Br 0.000 0.000 16.782
Br 0.000 2.715 0.000
Br 0.000 0.000 22.169
Br 0.000 2.715 5.338
Br 0.000 0.000 27.701
Br 0.000 2.715 14.138
```

Computed properties:
E_form (uncorrected) = -0.9674 eV/atom

Density functional theory data (GGA-PBE) for Rb4AgBr7 after structural relaxation. Values from VASP.

Structure (Quantum ESPRESSO input):
```
&SYSTEM
  ibrav = 0, nat = 12, ntyp = 3
/
ATOMIC_SPECIES
Rb 85.47 Rb.upf
Ag 107.87 Ag.upf
Br 79.90 Br.upf
CELL_PARAMETERS angstrom
8.893 -2.767 0.000
8.893 2.767 0.000
-5.660 0.000 10.096
ATOMIC_POSITIONS angstrom
Rb -0.469 0.000 2.347
Rb -0.704 0.000 8.178
Rb 12.831 0.000 1.918
Rb 12.596 0.000 7.749
Ag 6.063 0.000 5.048
Br -2.830 0.000 5.048
Br 2.379 0.000 0.548
Br 1.679 0.000 5.175
Br 6.274 0.000 2.517
Br 5.853 0.000 7.579
Br 10.448 0.000 4.921
Br 9.748 0.000 9.548
```

Computed properties:
E_form (uncorrected) = -1.2153 eV/atom